Below is a relaxed BaZn3Cu crystal, with properties calculated at the PBE level.

The structure in CIF format:
```
data_BaZn3Cu
_chemical_formula_sum 'Ba1 Zn3 Cu1'
_symmetry_space_group_name_H-M 'P m -3 m'
_symmetry_Int_Tables_number 221
_symmetry_space_group_name_Hall '-P 4 2 3'
_cell_length_a 6.361
_cell_length_b 6.361
_cell_length_c 6.361
_cell_angle_alpha 90.00
_cell_angle_beta 90.00
_cell_angle_gamma 90.00
loop_
_atom_site_label
_atom_site_fract_x
_atom_site_fract_y
_atom_site_fract_z
_atom_site_occupancy
Ba1 0.000 0.000 0.000 1
Zn1 0.000 0.000 0.500 1
Cu1 0.500 0.500 0.500 1
```

Properties
energy above the lowest structure with this stoichiometry = 6.32 eV per formula unit
V = 257.3 Å³/cell
DOS(E_F) = 0.86 states/eV/atom
energy = -0.831 eV/atom
E_form = 1.137 eV per atom